The following is a DFT calculation (PBE-GGA) of an optimized crystal structure of AcAl6Ag2.

Properties
Relative energy among the computed polymorphs: 0.000 eV/atom

Cell lengths 4.7470, 4.7470, 8.1304 Å; angles 90.00, 90.00, 90.00 degrees
Space group P4/mmm (No. 123)
Unique sites:
1 Ac 0.0000 0.0000 0.0000 x1
2 Al 0.0000 0.0000 0.5000 x1
3 Al 0.0000 0.5000 0.3212 x4
4 Al 0.5000 0.5000 0.5000 x1
5 Ag 0.5000 0.5000 0.1674 x2

---

The following is a DFT calculation (PBE-GGA) of an optimized crystal structure of AcAl8Ag2.

Properties
VASP energy: -3.364 eV per atom

Cell lengths 5.4183, 5.4183, 9.5113 Å; angles 90.00, 90.00, 90.00 degrees
Space group P4/mmm (No. 123)
Unique sites:
1 Ac 0.0000 0.0000 0.0000 x1
2 Al 0.2514 0.2514 0.2898 x8
3 Ag 0.0000 0.5000 0.5000 x2

---

The following is a DFT calculation (PBE-GGA) of an optimized crystal structure of Ac2Al3Ag6.

Properties
VASP energy: -3.541 eV per atom

Cell lengths 8.0204, 8.0204, 4.5821 Å; angles 90.00, 90.00, 120.00 degrees
Space group P-62m (No. 189)
Unique sites:
1 Ac 0.3333 0.6667 0.0000 x2
2 Al 0.0000 0.6339 0.5000 x3
3 Ag 0.0000 0.3000 0.5000 x3
4 Ag 0.0000 0.7976 0.0000 x3

---

The following is a DFT calculation (PBE-GGA) of an optimized crystal structure of Ac4AlAg3.

Properties
Relative energy among the computed polymorphs: 0.011 eV/atom

Cell lengths 4.3093, 4.9268, 12.0426 Å; angles 90.00, 90.00, 90.00 degrees
Space group Pmm2 (No. 25)
Unique sites:
1 Ac 0.0000 0.0000 0.0000 x1
2 Ac 0.0000 0.5000 0.2878 x1
3 Ac 0.5000 0.0000 0.4991 x1
4 Ac 0.5000 0.5000 0.7920 x1
5 Al 0.0000 0.0000 0.7155 x1
6 Ag 0.0000 0.5000 0.5771 x1
7 Ag 0.5000 0.0000 0.2173 x1
8 Ag 0.5000 0.5000 0.0732 x1

---

- Number 4 is which compound?
  Ac4AlAg3

---

What did the first record say?
The following is a DFT calculation (PBE-GGA) of an optimized crystal structure of AcAl6Ag2.

Properties
Relative energy among the computed polymorphs: 0.000 eV/atom

Cell lengths 4.7470, 4.7470, 8.1304 Å; angles 90.00, 90.00, 90.00 degrees
Space group P4/mmm (No. 123)
Unique sites:
1 Ac 0.0000 0.0000 0.0000 x1
2 Al 0.0000 0.0000 0.5000 x1
3 Al 0.0000 0.5000 0.3212 x4
4 Al 0.5000 0.5000 0.5000 x1
5 Ag 0.5000 0.5000 0.1674 x2

---

Copy entry 3 word for word.
The following is a DFT calculation (PBE-GGA) of an optimized crystal structure of Ac2Al3Ag6.

Properties
VASP energy: -3.541 eV per atom

Cell lengths 8.0204, 8.0204, 4.5821 Å; angles 90.00, 90.00, 120.00 degrees
Space group P-62m (No. 189)
Unique sites:
1 Ac 0.3333 0.6667 0.0000 x2
2 Al 0.0000 0.6339 0.5000 x3
3 Ag 0.0000 0.3000 0.5000 x3
4 Ag 0.0000 0.7976 0.0000 x3